[1]
K2PaBr7 PBE relaxed; crystal system = monoclinic; raw total energy = -77.36 eV per cell; space-group type = C2/c, No. 15; uncorrected formation energy = -1.528 eV per atom
1.0
-8.346 -2.030 2.255
-1.686 -9.620 2.583
-1.872 0.007 10.563
Br Pa K
14 2 4
direct
0.436 0.750 0.250 Br
0.736 0.853 0.383 Br
0.253 0.852 0.976 Br
0.017 0.046 0.283 Br
0.264 0.147 0.617 Br
0.983 0.954 0.717 Br
0.564 0.250 0.750 Br
0.973 0.647 0.117 Br
0.027 0.353 0.883 Br
0.747 0.148 0.024 Br
0.081 0.648 0.524 Br
0.654 0.546 0.783 Br
0.919 0.352 0.476 Br
0.346 0.454 0.217 Br
0.116 0.750 0.250 Pa
0.884 0.250 0.750 Pa
0.363 0.091 0.297 K
0.637 0.909 0.703 K
0.750 0.409 0.203 K
0.250 0.591 0.797 K

***

[2]
CsTbS2 PBE relaxed; crystal system = hexagonal; raw total energy = -42.16 eV per cell; space-group type = P6_3/mmc, No. 194; uncorrected formation energy = -1.836 eV per atom
1.0
-3.665 -1.363 1.309
3.168 -2.616 -0.349
4.270 3.142 15.224
Tb S Cs
2 4 2
direct
0.000 0.000 0.500 Tb
0.000 0.000 0.000 Tb
0.667 0.333 0.409 S
0.333 0.667 0.591 S
0.333 0.667 0.909 S
0.667 0.333 0.091 S
0.667 0.333 0.750 Cs
0.333 0.667 0.250 Cs

***

[3]
Sb2IrAu PBE relaxed; crystal system = monoclinic; raw total energy = -20.01 eV per cell; space-group type = Cm, No. 8; uncorrected formation energy = 0.094 eV per atom
1.0
-1.203 -3.588 1.701
1.756 -1.733 3.336
-4.059 1.328 5.838
Sb Ir Au
2 1 1
direct
0.006 0.006 0.085 Sb
0.733 0.733 0.682 Sb
0.264 0.264 0.255 Ir
0.496 0.496 0.479 Au

***

[4]
VGeS2 PBE relaxed; crystal system = trigonal; raw total energy = -21.64 eV per cell; space-group type = R-3m, No. 166; uncorrected formation energy = 0.087 eV per atom
1.0
-1.680 7.569 -0.219
0.422 7.255 2.710
1.921 7.493 -0.575
S V Ge
2 1 1
direct
0.101 0.101 0.101 S
0.899 0.899 0.899 S
0.000 0.000 0.000 V
0.500 0.500 0.500 Ge

***

[5]
UCoCuRu PBE relaxed; crystal system = cubic; raw total energy = -31.71 eV per cell; space-group type = F-43m, No. 216
1.0
4.420 0.000 0.000
2.210 3.828 0.000
2.210 1.276 3.609
U Co Ru Cu
1 1 1 1
direct
0.500 0.500 0.500 U
0.250 0.250 0.250 Co
0.750 0.750 0.750 Ru
0.000 0.000 0.000 Cu

***

[6]
Y3Tm6Sc PBE relaxed; crystal system = orthorhombic; raw total energy = -102.32 eV per cell; space-group type = Cmc2_1, No. 36
1.0
-3.271 5.086 -0.389
-9.031 -5.669 1.814
5.486 4.167 8.339
Tm Y Sc
12 6 2
direct
0.366 0.034 0.457 Tm
0.866 0.457 0.034 Tm
0.937 0.051 0.949 Tm
0.366 0.543 0.966 Tm
0.131 0.717 0.283 Tm
0.631 0.283 0.717 Tm
0.866 0.966 0.543 Tm
0.437 0.949 0.051 Tm
0.030 0.712 0.616 Tm
0.030 0.384 0.288 Tm
0.530 0.616 0.712 Tm
0.530 0.288 0.384 Tm
0.064 0.390 0.610 Y
0.956 0.723 0.942 Y
0.956 0.058 0.277 Y
0.564 0.610 0.390 Y
0.456 0.277 0.058 Y
0.456 0.942 0.723 Y
0.647 0.789 0.211 Sc
0.147 0.211 0.789 Sc

***

[7]
Na2CaPdF6 PBE relaxed; crystal system = monoclinic; raw total energy = -94.02 eV per cell; space-group type = P2_1/c, No. 14; uncorrected formation energy = -2.595 eV per atom
1.0
-3.043 -4.404 0.594
4.370 -3.240 -1.639
3.282 -0.370 9.481
Pd F Ca Na
2 12 2 4
direct
0.000 0.500 0.000 Pd
0.500 0.000 0.500 Pd
0.235 0.199 0.404 F
0.676 0.282 0.577 F
0.842 0.603 0.304 F
0.342 0.897 0.804 F
0.765 0.801 0.596 F
0.824 0.782 0.923 F
0.158 0.397 0.696 F
0.735 0.301 0.904 F
0.324 0.718 0.423 F
0.265 0.699 0.096 F
0.658 0.103 0.196 F
0.176 0.218 0.077 F
0.000 0.500 0.500 Ca
0.500 0.000 0.000 Ca
0.975 0.058 0.754 Na
0.025 0.942 0.246 Na
0.525 0.558 0.746 Na
0.475 0.442 0.254 Na

***

[8]
MgZnAg PBE relaxed; crystal system = orthorhombic; raw total energy = -24.27 eV per cell; space-group type = Pnma, No. 62
1.0
4.321 0.000 0.000
0.000 8.460 0.000
0.000 0.000 5.735
Mg Ag Zn
4 4 4
direct
0.250 0.088 0.145 Mg
0.750 0.588 0.355 Mg
0.750 0.912 0.855 Mg
0.250 0.412 0.645 Mg
0.250 0.418 0.147 Ag
0.750 0.582 0.853 Ag
0.250 0.082 0.647 Ag
0.750 0.918 0.353 Ag
0.750 0.245 0.397 Zn
0.250 0.745 0.103 Zn
0.250 0.755 0.603 Zn
0.750 0.255 0.897 Zn

***

[9]
Tb3Pr2Ho6Pu PBE relaxed; crystal system = monoclinic; raw total energy = -64.67 eV per cell; space-group type = C2/m, No. 12
1.0
6.167 -0.003 -0.017
-3.085 5.340 -0.017
-1.000 -1.731 11.552
Ho Tb Pr Pu
6 3 2 1
direct
0.412 0.083 0.251 Ho
0.917 0.588 0.749 Ho
0.083 0.412 0.251 Ho
0.755 0.755 0.251 Ho
0.245 0.245 0.749 Ho
0.588 0.917 0.749 Ho
0.500 0.500 0.500 Tb
0.833 0.167 0.500 Tb
0.167 0.833 0.500 Tb
0.667 0.333 0.000 Pr
0.333 0.667 0.000 Pr
0.000 0.000 0.000 Pu

***

[10]
ErTm8Tl6 PBE relaxed; crystal system = trigonal; raw total energy = -56.15 eV per cell; space-group type = R-3, No. 148
1.0
8.954 0.000 0.000
4.477 7.754 0.000
4.477 2.585 6.494
Tm Er Tl
8 1 6
direct
0.557 0.224 0.329 Tm
0.891 0.557 0.329 Tm
0.333 0.333 0.000 Tm
0.224 0.891 0.329 Tm
0.443 0.776 0.671 Tm
0.109 0.443 0.671 Tm
0.776 0.109 0.671 Tm
0.667 0.667 0.000 Tm
0.000 0.000 0.000 Er
0.268 0.601 0.197 Tl
0.934 0.268 0.197 Tl
0.732 0.399 0.803 Tl
0.066 0.732 0.803 Tl
0.399 0.066 0.803 Tl
0.601 0.934 0.197 Tl

***

[11]
Nd4OsRh PBE relaxed; crystal system = monoclinic; raw total energy = -78.99 eV per cell; space-group type = C2/c, No. 15
1.0
-3.689 -4.679 2.415
6.550 -3.958 -1.200
0.658 5.886 5.621
Nd Os Rh
8 2 2
direct
0.003 0.237 0.867 Nd
0.356 0.956 0.651 Nd
0.997 0.763 0.133 Nd
0.205 0.305 0.349 Nd
0.644 0.044 0.349 Nd
0.364 0.630 0.867 Nd
0.795 0.695 0.651 Nd
0.636 0.370 0.133 Nd
0.252 0.002 0.005 Os
0.748 0.998 0.995 Os
0.387 0.637 0.275 Rh
0.613 0.363 0.725 Rh

***

[12]
NbCo2H PBE relaxed; crystal system = cubic; raw total energy = -25.72 eV per cell; space-group type = Fm-3m, No. 225
1.0
0.000 2.827 2.827
2.827 0.000 2.827
2.827 2.827 0.000
Co Nb H
2 1 1
direct
0.250 0.250 0.250 Co
0.750 0.750 0.750 Co
0.500 0.500 0.500 Nb
0.000 0.000 0.000 H

***

[13]
BaRuRh PBE relaxed; crystal system = tetragonal; raw total energy = -17.32 eV per cell; space-group type = I4mm, No. 107
1.0
6.182 0.033 -0.035
5.167 3.395 0.027
1.016 0.244 3.353
Rh Ru Ba
1 1 1
direct
0.279 0.279 0.721 Rh
0.723 0.723 0.277 Ru
0.999 0.999 0.001 Ba

***

[14]
SrGe2Au2 PBE relaxed; crystal system = tetragonal; raw total energy = -36.74 eV per cell; space-group type = P4/mbm, No. 127
1.0
-6.187 -5.169 -0.276
4.668 -5.757 3.185
-0.927 0.946 3.070
Ge Au Sr
4 4 2
direct
0.132 0.368 0.000 Ge
0.868 0.632 0.000 Ge
0.368 0.868 0.000 Ge
0.632 0.132 0.000 Ge
0.657 0.843 0.500 Au
0.343 0.157 0.500 Au
0.157 0.657 0.500 Au
0.843 0.343 0.500 Au
0.500 0.500 0.000 Sr
0.000 0.000 0.000 Sr

***

[15]
TlRhPb2O8 PBE relaxed; crystal system = monoclinic; raw total energy = -64.71 eV per cell; space-group type = P2/m, No. 10; uncorrected formation energy = -0.659 eV per atom
1.0
-3.375 2.578 2.550
2.329 -1.093 4.169
3.837 5.673 -0.656
O Pb Tl Rh
8 2 1 1
direct
0.675 0.702 0.500 O
0.829 0.198 0.781 O
0.171 0.802 0.219 O
0.325 0.298 0.500 O
0.302 0.270 0.000 O
0.829 0.197 0.219 O
0.698 0.730 0.000 O
0.171 0.803 0.781 O
0.500 0.500 0.756 Pb
0.500 0.500 0.244 Pb
0.000 0.000 0.500 Tl
0.000 0.000 0.000 Rh

***

[16]
Er2ZnSi2Rh5 PBE relaxed; crystal system = tetragonal; raw total energy = -134.83 eV per cell; space-group type = P4/mbm, No. 127; uncorrected formation energy = -0.941 eV per atom
1.0
-2.314 -0.945 2.341
-6.021 -2.776 -7.072
3.849 -8.894 0.213
Zn Rh Si Er
2 10 4 4
direct
0.000 0.000 0.000 Zn
0.000 0.500 0.500 Zn
0.500 0.290 0.569 Rh
0.500 0.210 0.069 Rh
0.500 0.710 0.431 Rh
0.500 0.000 0.500 Rh
0.500 0.069 0.790 Rh
0.500 0.931 0.210 Rh
0.500 0.431 0.290 Rh
0.500 0.500 0.000 Rh
0.500 0.569 0.710 Rh
0.500 0.790 0.931 Rh
0.000 0.626 0.874 Si
0.000 0.126 0.626 Si
0.000 0.374 0.126 Si
0.000 0.874 0.374 Si
0.000 0.826 0.674 Er
0.000 0.174 0.326 Er
0.000 0.674 0.174 Er
0.000 0.326 0.826 Er

***

[17]
KPb2Au PBE relaxed; crystal system = trigonal; raw total energy = -12.57 eV per cell; space-group type = R3m, No. 160
1.0
-3.388 -0.245 3.407
-3.777 -2.925 -0.569
1.058 -6.102 4.010
Au Pb K
1 2 1
direct
0.420 0.420 0.740 Au
0.799 0.799 0.602 Pb
0.034 0.034 0.899 Pb
0.247 0.247 0.259 K

***

[18]
ThPaAs2 PBE relaxed; crystal system = trigonal; raw total energy = -31.09 eV per cell; space-group type = R-3m, No. 166
1.0
4.033 0.000 1.067
1.876 3.571 1.067
0.246 0.149 7.226
Pa Th As
1 1 2
direct
0.000 0.000 0.000 Pa
0.500 0.500 0.500 Th
0.254 0.254 0.238 As
0.746 0.746 0.762 As

***

[19]
Ac2Sm2Tl3 PBE relaxed; crystal system = triclinic; raw total energy = -26.40 eV per cell; space-group type = P-1, No. 2
1.0
3.832 0.509 0.582
-1.026 8.172 -0.453
0.984 -1.389 7.787
Tl Ac Sm
3 2 2
direct
0.000 0.000 0.000 Tl
0.111 0.547 0.777 Tl
0.889 0.453 0.223 Tl
0.706 0.812 0.589 Ac
0.294 0.188 0.411 Ac
0.566 0.264 0.868 Sm
0.434 0.736 0.132 Sm

***

[20]
Ac3Mg2UN6 PBE relaxed; crystal system = monoclinic; raw total energy = -88.00 eV per cell; space-group type = C2/m, No. 12; uncorrected formation energy = -0.937 eV per atom
1.0
-4.622 -4.234 1.163
6.102 -0.851 1.641
-1.421 3.853 4.610
Ac U Mg N
3 1 2 6
direct
0.176 0.824 0.500 Ac
0.500 0.500 0.500 Ac
0.824 0.176 0.500 Ac
0.000 0.000 0.000 U
0.699 0.301 0.000 Mg
0.301 0.699 0.000 Mg
0.393 0.092 0.200 N
0.829 0.829 0.258 N
0.607 0.908 0.800 N
0.908 0.607 0.800 N
0.171 0.171 0.742 N
0.092 0.393 0.200 N

***

[21]
Pu6P5O PBE relaxed; crystal system = monoclinic; raw total energy = -134.16 eV per cell; space-group type = C2/m, No. 12; uncorrected formation energy = -1.347 eV per atom
1.0
6.786 0.194 0.000
2.097 6.463 0.000
1.049 3.231 5.888
P O Pu
5 1 6
direct
0.000 0.666 0.669 P
0.500 0.500 0.000 P
0.000 0.334 0.331 P
0.500 0.175 0.649 P
0.500 0.825 0.351 P
0.000 0.000 0.000 O
0.238 0.607 0.314 Pu
0.759 0.768 0.000 Pu
0.762 0.079 0.314 Pu
0.238 0.921 0.686 Pu
0.241 0.232 0.000 Pu
0.762 0.393 0.686 Pu

***

[22]
ZrAl PBE relaxed; crystal system = hexagonal; raw total energy = -12.76 eV per cell; space-group type = P-6m2, No. 187
1.0
-2.744 -1.376 -0.093
2.545 -1.607 -0.608
0.414 -1.150 4.771
Al Zr
1 1
direct
0.000 0.000 0.000 Al
0.667 0.333 0.500 Zr

***

[23]
LuHgPb PBE relaxed; crystal system = tetragonal; raw total energy = -9.20 eV per cell; space-group type = I4mm, No. 107
1.0
3.655 0.000 0.000
0.000 3.655 0.000
-1.828 -1.828 6.001
Lu Pb Hg
1 1 1
direct
0.298 0.298 0.597 Lu
0.612 0.612 0.224 Pb
0.940 0.940 0.879 Hg